1.
InRe2Hg PBE optimized geometry; spin magnetization = 0.00 μB per atom; space-group type = P4/mmm (123); E = -24.02 eV for the cell shown; energy of formation from the pure elements = 0.978 eV per atom; distance to the lowest polymorph of the same formula = 683 meV/atom; DOS(E_F) = 4.52 states/eV/cell
1.0
3.992 0.000 0.000
0.000 3.992 0.000
0.000 0.000 4.443
In Re Hg
1 2 1
Direct
0.000 0.000 0.000
0.000 0.500 0.500
0.500 0.000 0.500
0.500 0.500 0.000

---

2.
La8Pm2Y PBE optimized geometry; spin magnetization = 0.00 μB per atom; space-group type = P4/mmm (123); E = -53.60 eV for the cell shown; energy of formation from the pure elements = 0.162 eV per atom; distance to the lowest polymorph of the same formula = 148 meV/atom; DOS(E_F) = 17.74 states/eV/cell
1.0
5.223 0.000 0.000
0.000 5.223 0.000
0.000 0.000 15.062
La Pm Y
8 2 1
Direct
0.000 0.000 0.175
0.000 0.000 0.825
0.000 0.500 0.000
0.000 0.500 0.346
0.000 0.500 0.654
0.500 0.000 0.000
0.500 0.000 0.346
0.500 0.000 0.654
0.500 0.500 0.179
0.500 0.500 0.821
0.500 0.500 0.500

---

3.
Er6Ge3AsS2 PBE optimized geometry; spin magnetization = 0.00 μB per atom; space-group type = C2/m (12); E = -70.01 eV for the cell shown; formation energy from raw total energies = -1.32 eV/atom; DOS(E_F) = 5.42 states/eV/cell
1.0
8.865 -2.006 0.000
8.865 2.006 0.000
-2.163 0.000 7.840
Er Ge As S
6 3 1 2
Direct
0.002 0.002 0.250
0.332 0.332 0.418
0.333 0.333 0.917
0.667 0.667 0.083
0.668 0.668 0.582
0.998 0.998 0.750
0.167 0.167 0.830
0.500 0.500 0.500
0.833 0.833 0.170
0.500 0.500 0.000
0.168 0.168 0.335
0.832 0.832 0.665

---

4.
AlRuCl4 PBE optimized geometry; spin magnetization = 0.84 μB per atom; space-group type = F-43m (216); E = -14.40 eV for the cell shown; formation energy from raw total energies = 1.00 eV/atom; DOS(E_F) = 8.34 states/eV/cell
1.0
0.000 4.142 4.142
4.142 0.000 4.142
4.142 4.142 0.000
Al Ru Cl
1 1 4
Direct
0.000 0.000 0.000
0.250 0.250 0.250
0.127 0.624 0.624
0.624 0.127 0.624
0.624 0.624 0.127
0.624 0.624 0.624